[1]
Tm11In9Ni4: optimized geometry, PBE.

Output
DOS at the Fermi energy = 14.83 states/eV/cell
Crystal system = orthorhombic
Space-group type = Cmmm, No. 65
E_form = -0.5211 eV/atom
Density = 9.39 g cm⁻³

Cell lengths 12.8823, 12.8823, 3.6101 Å; angles 90.00, 90.00, 112.59 degrees
Fractional coordinates of all 24 atoms:
Tm  0.0000  0.0000  0.0000
Tm  0.0814  0.4173  0.0000
Tm  0.1600  0.8400  0.0000
Tm  0.3125  0.3125  0.0000
Tm  0.3744  0.6256  0.0000
Tm  0.4173  0.0814  0.0000
Tm  0.5827  0.9186  0.0000
Tm  0.6256  0.3744  0.0000
Tm  0.6875  0.6875  0.0000
Tm  0.8400  0.1600  0.0000
Tm  0.9186  0.5827  0.0000
In  0.0757  0.2189  0.5000
In  0.1561  0.6317  0.5000
In  0.2189  0.0757  0.5000
In  0.3683  0.8439  0.5000
In  0.5000  0.5000  0.5000
In  0.6317  0.1561  0.5000
In  0.7811  0.9243  0.5000
In  0.8439  0.3683  0.5000
In  0.9243  0.7811  0.5000
Ni  0.2483  0.4499  0.5000
Ni  0.4499  0.2483  0.5000
Ni  0.5501  0.7517  0.5000
Ni  0.7517  0.5501  0.5000



[2]
La2MgInNi: optimized geometry, PBE.

Output
DOS at the Fermi energy = 6.45 states/eV/cell
Offset from the most stable computed form = 62 meV/atom
Crystal system = tetragonal
Space-group type = P4/mmm, No. 123
E_form = -0.2271 eV/atom
Density = 5.39 g cm⁻³

Cell lengths 5.4216, 5.4216, 4.9834 Å; angles 90.00, 90.00, 90.00 degrees
Fractional coordinates of all 5 atoms:
La  0.0000  0.5000  0.0000
La  0.5000  0.0000  0.0000
Mg  0.0000  0.0000  0.5000
In  0.5000  0.5000  0.5000
Ni  0.5000  0.5000  0.0000



[3]
Na3Np2MnN6: optimized geometry, PBE.

Output
DOS at the Fermi energy = 6.41 states/eV/cell
ΔE_f (raw) = -0.617 eV per atom
Crystal system = monoclinic
Space-group type = C2/m, No. 12
Density = 6.94 g cm⁻³

Cell lengths 5.8990, 5.8990, 5.8533 Å; angles 97.32, 97.32, 123.74 degrees
Fractional coordinates of all 12 atoms:
Na  0.0000  0.0000  0.0000
Na  0.3424  0.6576  0.0000
Na  0.6576  0.3424  0.0000
Np  0.1634  0.8366  0.5000
Np  0.8366  0.1634  0.5000
Mn  0.5000  0.5000  0.5000
N  0.0803  0.4198  0.3078
N  0.2343  0.2343  0.6804
N  0.4198  0.0803  0.3078
N  0.5802  0.9197  0.6922
N  0.7657  0.7657  0.3196
N  0.9197  0.5802  0.6922



[4]
Mn8CN2: optimized geometry, PBE.

Output
DOS at the Fermi energy = 11.53 states/eV/cell
ΔE_f (raw) = -0.084 eV per atom
Crystal system = triclinic
Space-group type = P-1, No. 2
Density = 6.86 g cm⁻³

Cell lengths 4.1533, 5.4146, 5.4199 Å; angles 72.26, 88.49, 88.47 degrees
Fractional coordinates of all 11 atoms:
Mn  0.2173  0.3309  0.3275
Mn  0.2422  0.3960  0.8139
Mn  0.2425  0.8155  0.3973
Mn  0.2546  0.8745  0.8767
Mn  0.7454  0.1255  0.1233
Mn  0.7575  0.1845  0.6027
Mn  0.7578  0.6040  0.1861
Mn  0.7827  0.6691  0.6725
C  0.5000  0.5000  0.5000
N  0.2462  0.1152  0.1150
N  0.7538  0.8848  0.8850



[5]
Tm3In3NiRu2: optimized geometry, PBE.

Output
DOS at the Fermi energy = 8.30 states/eV/cell
Crystal system = hexagonal
Space-group type = P-62m, No. 189
E_form = -0.4355 eV/atom
Density = 10.07 g cm⁻³

Cell lengths 7.4966, 7.4966, 3.7688 Å; angles 90.00, 90.00, 120.00 degrees
Fractional coordinates of all 9 atoms:
Tm  0.0000  0.4073  0.0000
Tm  0.4073  0.0000  0.0000
Tm  0.5927  0.5927  0.0000
In  0.0000  0.7453  0.5000
In  0.2547  0.2547  0.5000
In  0.7453  0.0000  0.5000
Ni  0.0000  0.0000  0.0000
Ru  0.3333  0.6667  0.5000
Ru  0.6667  0.3333  0.5000



[6]
SrRu3O: optimized geometry, PBE.

Output
DOS at the Fermi energy = 4.70 states/eV/cell
Offset from the most stable computed form = 2658 meV/atom
ΔE_f (raw) = 3.056 eV per atom
Crystal system = cubic
Space-group type = Pm-3m, No. 221
Density = 5.35 g cm⁻³

Cell lengths 5.0156, 5.0156, 5.0156 Å; angles 90.00, 90.00, 90.00 degrees
Fractional coordinates of all 5 atoms:
Sr  0.0000  0.0000  0.0000
Ru  0.0000  0.0000  0.5000
Ru  0.0000  0.5000  0.0000
Ru  0.5000  0.0000  0.0000
O  0.5000  0.5000  0.5000